The following is a DFT calculation (PBE-GGA) of an optimized crystal structure of TaMnAg2.

## Properties
Spin magnetization, μB per cell: 2.69
Energy relative to the elements, eV/f.u.: 1.69
VASP energy, eV per formula unit: -25.03
V, Å³ per cell: 68.4

The structure in extended XYZ format:
```
4
Lattice="-1.4405 2.4788 4.7897 1.4405 -2.4788 4.7897 1.4405 2.4788 -4.7897" Properties=species:S:1:pos:R:3 pbc="T T T"
Ta 0.0000 0.0000 0.0000
Mn 0.0000 2.4788 2.5933
Ag 1.4405 0.0000 2.5897
Ag 0.0000 0.0000 5.0686
```